VASP calculation (GGA-PBEsol) on an optimized crystal structure of LaCeZn2.

Properties
Final energy ... -63.1 eV/cell
DOS(E_F) ... 34.5 states/eV per cell

Lattice parameters (Å, degrees): 7.2403 7.2403 7.2403 90.00 90.00 90.00
Last column: nearest neighbours and their distance in Å.
Space group Fm-3m (No. 225)
One atom of each set of equivalent atoms:
La  0.0000  0.0000  0.0000 (multiplicity 4)  8 Zn 3.14
Ce  0.0000  0.0000  0.5000 (multiplicity 4)  8 Zn 3.14
Zn  0.2500  0.2500  0.2500 (multiplicity 8)  4 La 3.14, 4 Ce 3.14

VASP calculation (GGA-PBEsol) on an optimized crystal structure of RbTa3Ni.

Properties
Final energy ... -36.9 eV/cell
DOS(E_F) ... 7.2 states/eV per cell

Lattice parameters (Å, degrees): 4.7535 4.7535 4.7535 90.00 90.00 90.00
Last column: nearest neighbours and their distance in Å.
Space group Pm-3m (No. 221)
One atom of each set of equivalent atoms:
Rb  0.0000  0.0000  0.0000 (multiplicity 1)  12 Ta 3.36
Ta  0.0000  0.5000  0.5000 (multiplicity 3)  2 Ni 2.38
Ni  0.5000  0.5000  0.5000 (multiplicity 1)  6 Ta 2.38

VASP calculation (GGA-PBEsol) on an optimized crystal structure of Ru2BrCl.

Properties
E above lowest polymorph ... 114 meV/atom
DOS(E_F) ... 5.4 states/eV per cell
Formation energy (no corrections) ... 973 meV per atom

Lattice parameters (Å, degrees): 3.0951 3.0951 6.1522 90.00 90.00 90.00
Last column: nearest neighbours and their distance in Å.
Space group P4/mmm (No. 123)
One atom of each set of equivalent atoms:
Ru  0.0000  0.0000  0.2444 (multiplicity 2)  4 Cl 2.66, 4 Br 2.69
Br  0.5000  0.5000  0.5000 (multiplicity 1)  8 Ru 2.69
Cl  0.5000  0.5000  0.0000 (multiplicity 1)  8 Ru 2.66

VASP calculation (GGA-PBEsol) on an optimized crystal structure of BeCr2PtO.

Properties
DOS(E_F) ... 4.8 states/eV per cell
Formation energy (no corrections) ... 1184 meV per atom

Lattice parameters (Å, degrees): 5.0067 5.0067 3.6800 90.00 90.00 90.00
Last column: nearest neighbours and their distance in Å.
Space group P4/mmm (No. 123)
One atom of each set of equivalent atoms:
Be  0.0000  0.0000  0.0000 (multiplicity 1)  8 Cr 3.11
Cr  0.0000  0.5000  0.5000 (multiplicity 2)  2 Pt 2.50
Pt  0.5000  0.5000  0.5000 (multiplicity 1)  2 O 1.84
O  0.5000  0.5000  0.0000 (multiplicity 1)  2 Pt 1.84

VASP calculation (GGA-PBEsol) on an optimized crystal structure of InMo12PbS16.

Properties
DOS(E_F) ... 60.7 states/eV per cell
Formation energy (no corrections) ... -738 meV per atom

Lattice parameters (Å, degrees): 9.0791 9.0791 22.7009 90.00 90.00 120.00
Last column: nearest neighbours and their distance in Å.
Space group R-3 (No. 148, hexagonal axes)
One atom of each set of equivalent atoms:
In  0.0000  0.0000  0.0000 (multiplicity 3)  2 S 2.73
Mo  0.0154  0.8377  0.3000 (multiplicity 18)  5 S 2.37-2.51
Mo  0.0159  0.8383  0.8001 (multiplicity 18)  5 S 2.38-2.50
Pb  0.0000  0.0000  0.5000 (multiplicity 3)  8 S 2.75-3.07
S  0.0000  0.0000  0.1204 (multiplicity 6)  3 Mo 2.38
S  0.0000  0.0000  0.3788 (multiplicity 6)  3 Mo 2.37
S  0.0077  0.6312  0.3750 (multiplicity 18)  4 Mo 2.41-2.51
S  0.0075  0.6319  0.8750 (multiplicity 18)  4 Mo 2.42-2.50

VASP calculation (GGA-PBEsol) on an optimized crystal structure of NaInI4.

Properties
DOS(E_F) ... 0.0 states/eV per cell
Formation energy (no corrections) ... -727 meV per atom

Lattice parameters (Å, degrees): 8.4874 7.5464 15.3576 90.00 92.78 90.00
Last column: nearest neighbours and their distance in Å.
Space group P2_1/c (No. 14)
One atom of each set of equivalent atoms:
Na  0.1494  0.0066  0.3717 (multiplicity 4)  6 I 3.13-3.27
In  0.2990  0.6928  0.0990 (multiplicity 4)  4 I 2.71-2.76
I  0.0539  0.6404  0.6780 (multiplicity 4)  1 In 2.76
I  0.1886  0.1480  0.5732 (multiplicity 4)  1 In 2.76
I  0.3302  0.6670  0.4381 (multiplicity 4)  1 In 2.71
I  0.4373  0.2122  0.2942 (multiplicity 4)  1 In 2.71

VASP calculation (GGA-PBEsol) on an optimized crystal structure of TaHgIr.

Properties
Final energy ... -45.9 eV/cell
DOS(E_F) ... 2.6 states/eV per cell

Lattice parameters (Å, degrees): 3.3924 3.3924 8.8872 90.00 90.00 90.00
Last column: nearest neighbours and their distance in Å.
Space group I4mm (No. 107)
One atom of each set of equivalent atoms:
Ta  0.0000  0.0000  0.0000 (multiplicity 2)  4 Ir 2.70, 5 Hg 2.81-2.90
Hg  0.0000  0.0000  0.6835 (multiplicity 2)  5 Ta 2.81-2.90, 5 Ir 2.86-2.87
Ir  0.0000  0.0000  0.3612 (multiplicity 2)  4 Ta 2.70, 5 Hg 2.86-2.87

VASP calculation (GGA-PBEsol) on an optimized crystal structure of HfMoBr3.

Properties
DOS(E_F) ... 6.4 states/eV per cell
Formation energy (no corrections) ... 789 meV per atom

Lattice parameters (Å, degrees): 4.9763 4.9763 4.9763 90.00 90.00 90.00
Last column: nearest neighbours and their distance in Å.
Space group Pm-3m (No. 221)
One atom of each set of equivalent atoms:
Hf  0.0000  0.0000  0.0000 (multiplicity 1)  12 Br 3.52
Mo  0.5000  0.5000  0.5000 (multiplicity 1)  6 Br 2.49
Br  0.0000  0.5000  0.5000 (multiplicity 3)  2 Mo 2.49